# 1
Zr3Zn3Ga2 | GGA-PBE | optimized geometry

```
Zr3Zn3Ga2
1.0
-0.1466 -4.0308 0.6519
-0.2372 1.2168 -5.3337
13.8577 -0.6269 -0.7592
Ga Zn Zr
4 6 6
direct
0.7872 0.5744 0.8923
0.2128 0.4256 0.3923
0.2128 0.4256 0.1077
0.7872 0.5744 0.6077
0.3695 0.7390 0.2500
0.6128 0.2256 0.0372
0.3872 0.7744 0.5372
0.6305 0.2610 0.7500
0.3872 0.7744 0.9628
0.6128 0.2256 0.4628
0.0745 0.1491 0.8838
0.9255 0.8509 0.1162
0.0745 0.1491 0.6162
0.6478 0.2956 0.2500
0.9255 0.8509 0.3838
0.3522 0.7044 0.7500
```

Calculated values
SG   Cmcm

# 2
ZrGa | GGA-PBE | optimized geometry

```
ZrGa
1.0
-4.2530 -2.3080 2.6324
1.3281 -4.8960 -2.1469
3.2392 -1.0229 4.3366
Zr Ga
4 4
direct
0.5000 0.0000 0.5000
0.0000 0.5000 0.5000
0.0000 0.0000 0.0000
0.5000 0.5000 0.0000
0.5000 0.0000 0.0000
0.0000 0.5000 0.0000
0.5000 0.5000 0.5000
0.0000 0.0000 0.5000
```

Calculated values
SG   Fm-3m

# 3
ZrGa | GGA-PBE | optimized geometry

```
ZrGa
1.0
-0.7256 -6.0685 4.3334
5.7662 4.6712 1.0305
-2.8961 2.8130 3.4543
Ga Zr
6 6
direct
0.5176 0.6354 0.7500
0.8822 0.5176 0.2500
0.6354 0.1178 0.2500
0.4824 0.3646 0.2500
0.3646 0.8822 0.7500
0.1178 0.4824 0.7500
0.0719 0.2765 0.2500
0.9281 0.7235 0.7500
0.7235 0.7954 0.2500
0.2046 0.9281 0.2500
0.7954 0.0719 0.7500
0.2765 0.2046 0.7500
```

Calculated values
SG   P6_3/m

# 4
ZrGa6 | GGA-PBE | optimized geometry

```
ZrGa6
1.0
-5.0874 2.5584 1.8476
1.9701 -3.7848 4.1994
4.1244 4.2303 -0.9672
Ga Zr
6 1
direct
0.5000 0.7500 0.2500
0.7500 0.5000 0.2500
0.2500 0.5000 0.7500
0.5000 0.2500 0.7500
0.7500 0.2500 0.5000
0.2500 0.7500 0.5000
0.0000 0.0000 0.0000
```

Calculated values
SG   Im-3m

# 5
Zr3Ga2 | GGA-PBE | optimized geometry

```
Zr3Ga2
1.0
-0.7601 4.0502 -0.1129
-4.0581 1.2404 -3.4449
-4.6070 1.3069 2.6346
Zr Ga
3 2
direct
0.0000 0.0000 0.0000
0.7942 0.7058 0.7058
0.2058 0.2942 0.2942
0.5000 0.2952 0.7048
0.5000 0.7048 0.2952
```

Calculated values
SG   Immm
Offset from the most stable computed form   86 meV per atom

# 6
ZrGa2 | GGA-PBE | optimized geometry

```
ZrGa2
1.0
-1.9897 2.3654 -2.3509
-0.9254 -3.1115 -2.1315
-1.1404 -0.0092 5.3030
Ga Zr
2 1
direct
0.8174 0.8174 0.6859
0.1826 0.1826 0.3141
0.5000 0.5000 0.0000
```

Calculated values
SG   C2/m

# 7
ZrGa | GGA-PBE | optimized geometry

```
ZrGa
1.0
-0.7625 3.0411 -3.5668
-3.4589 -2.9401 1.3940
-1.7310 3.7128 3.5356
Zr Ga
2 2
direct
0.3333 0.6667 0.7500
0.6667 0.3333 0.2500
0.6667 0.3333 0.7500
0.3333 0.6667 0.2500
```

Calculated values
SG   P6_3/mmc

# 8
Zr3Ga5 | GGA-PBE | optimized geometry

```
Zr3Ga5
1.0
5.7415 0.0000 0.0000
0.0000 9.0837 0.0000
0.0000 0.0000 11.1208
Zr Ga
12 20
direct
0.1369 0.7500 0.4314
0.3777 0.9979 0.6480
0.1223 0.5021 0.1480
0.8631 0.2500 0.5686
0.8777 0.4979 0.8520
0.6223 0.0021 0.3520
0.8777 0.0021 0.8520
0.6223 0.4979 0.3520
0.3777 0.5021 0.6480
0.3631 0.7500 0.9314
0.6369 0.2500 0.0686
0.1223 0.9979 0.1480
0.1289 0.4483 0.4092
0.6101 0.2500 0.7860
0.9013 0.7500 0.0010
0.3899 0.7500 0.2140
0.4013 0.2500 0.4990
0.3523 0.2500 0.2603
0.8711 0.9483 0.5908
0.6289 0.5517 0.0908
0.1101 0.7500 0.7140
0.6477 0.7500 0.7397
0.6289 0.9483 0.0908
0.8523 0.7500 0.2397
0.8899 0.2500 0.2860
0.1289 0.0517 0.4092
0.3711 0.4483 0.9092
0.8711 0.5517 0.5908
0.5987 0.7500 0.5010
0.1477 0.2500 0.7603
0.3711 0.0517 0.9092
0.0987 0.2500 0.9990
```

Calculated values
SG   Pnma
Offset from the most stable computed form   10 meV per atom

# 9
ZrGa4 | GGA-PBE | optimized geometry

```
ZrGa4
1.0
5.2833 0.0000 0.0000
0.0000 5.2833 0.0000
0.0000 0.0000 5.2833
Ga Zr
4 1
direct
0.5000 0.5000 0.0000
0.5000 0.0000 0.5000
0.0000 0.0000 0.0000
0.0000 0.5000 0.5000
0.5000 0.5000 0.5000
```

Calculated values
SG   Pm-3m
Offset from the most stable computed form   497 meV per atom

# 10
ZrGa5 | GGA-PBE | optimized geometry

```
ZrGa5
1.0
-3.6480 -0.3131 1.3999
1.4017 -2.2394 3.1519
0.1856 6.6750 1.9768
Zr Ga
1 5
direct
0.0000 0.0000 0.0000
0.0000 0.6601 0.3202
0.5000 0.1734 0.3468
0.5000 0.5000 0.0000
0.0000 0.3399 0.6798
0.5000 0.8266 0.6532
```

Calculated values
SG   Cmmm

# 11
ZrGa | GGA-PBE | optimized geometry

```
ZrGa
1.0
-5.2712 -0.2102 1.5840
-1.4387 -1.6042 -5.0006
1.2435 -9.9148 2.8228
Ga Zr
8 8
direct
0.8462 0.0918 0.3270
0.6270 0.4019 0.4750
0.8730 0.5981 0.9750
0.3730 0.9019 0.0250
0.1538 0.5918 0.1730
0.6538 0.9082 0.8270
0.3462 0.4082 0.6730
0.1270 0.0981 0.5250
0.1264 0.6159 0.4435
0.3736 0.3841 0.9435
0.1442 0.8665 0.7634
0.8736 0.1159 0.0565
0.6264 0.8841 0.5565
0.8558 0.3665 0.7366
0.6442 0.6335 0.2366
0.3558 0.1335 0.2634
```

Calculated values
SG   P2_12_12_1

# 12
Zr3Ga | GGA-PBE | optimized geometry

```
Zr3Ga
1.0
-4.2698 -0.8340 2.5858
1.6166 -1.6489 2.1375
0.8322 4.4629 2.8134
Zr Ga
3 1
direct
0.5000 0.5000 0.1482
0.0000 0.5000 0.5203
0.0000 0.0000 0.0054
0.5000 0.0000 0.6595
```

Calculated values
SG   Pmm2

DFT total energy
In order: -4.84 -6.11 -5.93 -3.27 -6.80 -5.09 -5.49 -5.69 -3.59 -4.17 -6.32 -7.37
Unit: eV/atom
Energy relative to the elements
In order: -402 -321 -140 541 -459 -225 294 -593 539 -223 -530 -200
Unit: meV per atom